This record from Alexandria describes an optimized crystal structure of CrAsI3. The functional is GGA-PBE.

Geometry as POSCAR:
```
CrAsI3
1.0
-4.730 0.354 2.253
-1.235 -4.759 -1.844
1.917 -2.191 4.370
I Cr As
3 1 1
Cartesian
-0.618 -2.380 -0.922
-2.365 0.177 1.126
0.959 -1.096 2.185
0.000 0.000 0.000
-2.024 -3.298 2.389
```

## Properties
- E_form (uncorrected): 0.737 eV per atom
- DOS at the Fermi energy: 10.405 states/eV/f.u.
- DFT total energy: -3.0478 eV/atom
- Total magnetization: 0.42 μB per formula unit
- Energy above the most stable polymorph in this dataset: 251.1 meV/atom